VASP calculation (PBE with a Hubbard U) on crystalline BaNaCr2O8 at its relaxed geometry.

Cell and atoms, written as CIF:
```
data_BaNaCr2O8
_cell_length_a 8.408
_cell_length_b 8.408
_cell_length_c 8.408
_cell_angle_alpha 36.40
_cell_angle_beta 36.40
_cell_angle_gamma 36.40
_space_group_name_H-M_alt 'P 1'
_space_group_IT_number 1
_space_group_name_Hall 'P 1'
loop_
_atom_site_label
_atom_site_type_symbol
_atom_site_fract_x
_atom_site_fract_y
_atom_site_fract_z
Ba1 Ba 0.000 0.000 0.000
Na1 Na 0.500 0.500 0.500
Cr1 Cr 0.252 0.252 0.252
Cr2 Cr 0.748 0.748 0.748
O1 O 0.057 0.796 0.455
O2 O 0.204 0.545 0.943
O3 O 0.323 0.323 0.323
O4 O 0.455 0.057 0.796
O5 O 0.545 0.943 0.204
O6 O 0.677 0.677 0.677
O7 O 0.796 0.455 0.057
O8 O 0.943 0.204 0.545
```

The total energy comes out at -6.353 eV per atom.